# ZnCdCoOs PBE optimized geometry
# - SG: F-43m (216)
# - ΔE to the lowest computed polymorph: 0.0000 eV/atom
# - Raw total energy: -4.608 eV/atom
data_ZnCdCoOs
_chemical_formula_sum 'Zn1 Cd1 Co1 Os1'
_space_group_name_H-M_alt 'P 1'
_space_group_IT_number 1
_space_group_name_Hall 'P 1'
_cell_length_a 4.377
_cell_length_b 4.377
_cell_length_c 4.377
_cell_angle_alpha 60.00
_cell_angle_beta 60.00
_cell_angle_gamma 60.00
loop_
_atom_site_label
_atom_site_type_symbol
_atom_site_fract_x
_atom_site_fract_y
_atom_site_fract_z
Zn1 Zn 0.000 0.000 0.000
Cd1 Cd 0.750 0.750 0.750
Co1 Co 0.250 0.250 0.250
Os1 Os 0.500 0.500 0.500